{
  "formula": "ErLuMnTc",
  "functional": "GGA-PBE",
  "state": "relaxed",
  "ef_ev_per_atom": 0.057,
  "total_magnetization_mub_per_fu": 3.7,
  "cell": [[4.844, 0.000, 0.000], [2.422, 4.195, 0.000], [2.422, 1.398, 3.955]],
  "species": ["Mn", "Tc", "Lu", "Er"],
  "frac_coords": [[0.000, 0.000, 0.000], [0.500, 0.500, 0.500], [0.750, 0.750, 0.750], [0.250, 0.250, 0.250]]
}